This record from Alexandria describes an optimized crystal structure of Co2AgSeN. The functional is PBE.

Values from the calculation:
The calculation puts the volume at 99.4 Å³ per cell. The value obtained for the formation energy without anion corrections is 7.795 eV per formula unit. The calculation puts the calculated density at 5.3 g/cm³.

abc: 4.422 4.422 5.086
angles: 90.00 90.00 90.00
Space group P4/mmm (No. 123)
One atom of each set of equivalent atoms:
Co  0.000  0.500  0.000
Ag  0.000  0.000  0.500
Se  0.000  0.000  0.000
N  0.500  0.500  0.500